The following is a DFT calculation (PBE with a Hubbard U) of a geometry-optimized Na7W12O36 structure.

The structure in extended XYZ format:
```
55
Lattice="4.7902 -8.3029 0.0000 4.7902 8.3029 0.0000 -3.1973 0.0000 9.0388" Properties=species:S:1:pos:R:3 pbc="T T T"
Na 0.0000 0.0000 0.0000
Na 1.6025 2.7838 2.2768
Na 0.0104 0.0000 6.7781
Na 1.6025 -2.7838 2.2768
Na 4.7805 2.7838 6.7621
Na 6.3726 0.0000 2.2607
Na 4.7805 -2.7838 6.7621
W 3.1838 5.5228 1.1398
W 0.0030 0.0000 3.4128
W 1.5967 2.7722 5.6438
W 3.1992 5.5228 7.8990
W 3.2108 0.0000 1.1440
W 4.7863 2.7722 3.3950
W 1.5967 -2.7722 5.6438
W 3.1722 0.0000 7.8948
W 3.1838 -5.5228 1.1398
W 4.7863 -2.7722 3.3950
W 6.3800 0.0000 5.6260
W 3.1992 -5.5228 7.8990
O -1.5987 0.0000 4.5194
O 2.3951 4.1515 0.0000
O 0.7964 4.1515 4.5194
O 3.9989 6.9362 2.2358
O 2.3841 6.9362 6.8030
O -0.0038 2.7675 6.7808
O -0.8260 1.3695 9.0381
O 4.7902 5.5665 0.0000
O 0.7969 1.3813 4.5170
O 1.5814 0.0000 2.2344
O 3.9891 4.1571 2.2559
O 2.3939 4.1571 6.7830
O -0.8260 -1.3695 9.0381
O 0.7969 -1.3813 4.5170
O 3.1915 2.7722 4.5194
O -0.0038 -2.7675 6.7808
O 3.9909 1.3830 2.2595
O 2.3921 1.3830 6.7793
O 2.3951 -4.1515 0.0000
O 0.7964 -4.1515 4.5194
O 4.7902 0.0000 0.0000
O 3.9909 -1.3830 2.2595
O 2.3921 -1.3830 6.7793
O 6.3868 2.7675 2.2580
O 3.1915 -2.7722 4.5194
O 5.5861 1.3813 4.5219
O 7.2090 1.3695 0.0008
O 3.9891 -4.1571 2.2559
O 2.3939 -4.1571 6.7830
O 4.8016 0.0000 6.8045
O 5.5861 -1.3813 4.5219
O 4.7902 -5.5665 0.0000
O 7.2090 -1.3695 0.0008
O 6.3868 -2.7675 2.2580
O 3.9989 -6.9362 2.2358
O 2.3841 -6.9362 6.8030
```

## Properties
**Spin magnetization**: 3.2 μB per cell
**D(E_F)**: 7.86 states/eV/f.u.
**E**: -384.27 eV/cell